# 1
## Rb2ClF7 (PBE)

Data for crystalline Rb2ClF7 at its relaxed geometry.

Cell lengths 6.2360, 6.2360, 6.2384 Å; angles 60.01, 60.01, 90.00 degrees
Fractional positions:
F: 0.7871 0.7871 0.0000
F: 0.5000 0.5000 0.0000
F: 0.2128 0.2128 0.5743
F: 0.7872 0.7872 0.4257
F: 0.2129 0.2129 0.0000
F: 0.7871 0.2129 0.0000
Rb: 0.7500 0.2500 0.5000
F: 0.2129 0.7871 0.0000
Rb: 0.2500 0.7500 0.5000
Cl: 0.0000 0.0000 0.0000

## Properties
Fermi-level density of states ... 0.00 states/eV/f.u.
ΔE_f (raw) ... -1403 meV per atom
Symmetry ... Fm-3m, No. 225



# 2
## Pm12Dy2Sc (PBE)

Data for crystalline Pm12Dy2Sc at its relaxed geometry.

Cell lengths 6.5323, 6.5323, 25.0300 Å; angles 90.00, 90.00, 90.00 degrees
Fractional positions:
Pm: 0.0000 0.0000 0.3346
Pm: 0.6677 0.8323 0.5632
Pm: 0.1677 0.3323 0.4368
Pm: 0.6853 0.1853 0.8916
Pm: 0.0000 0.0000 0.6654
Pm: 0.8323 0.6677 0.4368
Sc: 0.5000 0.0000 0.0000
Pm: 0.3323 0.8323 0.4368
Pm: 0.0000 0.0000 0.2106
Dy: 0.5000 0.0000 0.7324
Dy: 0.5000 0.0000 0.2676
Pm: 0.0000 0.0000 0.7894
Pm: 0.1853 0.6853 0.1084
Dy: 0.0000 0.5000 0.2676
Pm: 0.5000 0.5000 0.7894
Pm: 0.6853 0.8147 0.1084
Pm: 0.8323 0.3323 0.5632
Pm: 0.1677 0.6677 0.5632
Pm: 0.8147 0.6853 0.8916
Dy: 0.0000 0.5000 0.7324
Pm: 0.5000 0.5000 0.2106
Pm: 0.6677 0.1677 0.4368
Pm: 0.1853 0.3147 0.8916
Sc: 0.0000 0.5000 0.0000
Pm: 0.3147 0.8147 0.8916
Pm: 0.3147 0.1853 0.1084
Pm: 0.5000 0.5000 0.3346
Pm: 0.5000 0.5000 0.6654
Pm: 0.3323 0.1677 0.5632
Pm: 0.8147 0.3147 0.1084

## Properties
Electronic total energy ... -67.433 eV per formula unit
Fermi-level density of states ... 20.28 states/eV/f.u.
Symmetry ... P4/nbm, No. 125



# 3
## TlBS3 (PBE)

Data for crystalline TlBS3 at its relaxed geometry.

Cell lengths 5.1255, 5.1255, 5.1255 Å; angles 90.00, 90.00, 90.00 degrees
Fractional positions:
B: 0.5000 0.5000 0.5000
S: 0.0000 0.0000 0.5000
S: 0.0000 0.5000 0.0000
Tl: 0.0000 0.0000 0.0000
S: 0.5000 0.0000 0.0000

## Properties
Fermi-level density of states ... 4.91 states/eV/f.u.
ΔE_f (raw) ... 1670 meV per atom
Symmetry ... Pm-3m, No. 221



# 4
## PmY2Nb (PBE)

Data for crystalline PmY2Nb at its relaxed geometry.

Cell lengths 3.3285, 3.3285, 11.9314 Å; angles 81.98, 81.98, 60.00 degrees
Each line ends with the local moment (μB).
Fractional positions:
Nb: 0.0000 0.0000 0.0000  0.35
Y: 0.0821 0.0821 0.7538  0.03
Pm: 0.5000 0.5000 0.5000  0.00
Y: 0.9179 0.9179 0.2462  0.03

## Properties
Electronic total energy ... -25.474 eV per formula unit
Fermi-level density of states ... 6.04 states/eV/f.u.
Symmetry ... R-3m, No. 166



# 5
## CaTb8Y5 (PBE)

Data for crystalline CaTb8Y5 at its relaxed geometry.

Cell lengths 8.5285, 8.5285, 8.5285 Å; angles 110.98, 106.49, 110.98 degrees
Fractional positions:
Y: 0.2816 0.0939 0.9616
Y: 0.0384 0.3200 0.1323
Tb: 0.5302 0.6035 0.2743
Tb: 0.1579 0.7369 0.0828
Tb: 0.5790 0.9248 0.8421
Y: 0.5000 0.0000 0.5000
Y: 0.8677 0.9061 0.1878
Tb: 0.0733 0.7441 0.4698
Ca: 0.2500 0.5000 0.7500
Tb: 0.6708 0.3965 0.9267
Y: 0.8122 0.6800 0.7184
Tb: 0.7257 0.2559 0.3292
Tb: 0.3459 0.2631 0.4210
Tb: 0.9172 0.0752 0.6541

## Properties
Electronic total energy ... -67.885 eV per formula unit
Fermi-level density of states ... 21.65 states/eV/f.u.
Symmetry ... I-4, No. 82



# 6
## Ba2CrPb (PBE)

Data for crystalline Ba2CrPb at its relaxed geometry.

Cell lengths 12.2632, 12.2632, 9.0656 Å; angles 47.44, 47.44, 90.00 degrees
Each line ends with the local moment (μB).
Fractional positions:
Cr: 0.5000 0.5000 0.0000  3.70
Ba: 0.3750 0.5400 0.7500  0.04
Pb: 0.0000 0.0000 0.0000  -0.10
Ba: 0.4600 0.1250 0.2500  0.04
Ba: 0.2900 0.6250 0.2500  0.04
Ba: 0.8750 0.7100 0.7500  0.04
Cr: 0.2500 0.7500 0.5000  3.70
Pb: 0.7500 0.2500 0.5000  -0.10

## Properties
Electronic total energy ... -15.845 eV per formula unit
Fermi-level density of states ... 2.81 states/eV/f.u.
Symmetry ... I-42d, No. 122



# 7
## LiLaNi2Ru (PBE)

Data for crystalline LiLaNi2Ru at its relaxed geometry.

Cell lengths 4.7968, 4.8194, 4.7968 Å; angles 90.00, 90.00, 90.00 degrees
Fractional positions:
Ni: 0.0000 0.0000 0.5000
Ru: 0.0000 0.5000 0.0000
Li: 0.5000 0.5000 0.5000
La: 0.0000 0.0000 0.0000
Ni: 0.5000 0.0000 0.0000

## Properties
Electronic total energy ... -21.801 eV per formula unit
Fermi-level density of states ... 1.80 states/eV/f.u.
Symmetry ... P4/mmm, No. 123



# 8
## Ac2SN (PBE)

Data for crystalline Ac2SN at its relaxed geometry.

Cell lengths 3.4682, 3.4682, 7.1430 Å; angles 90.00, 90.00, 90.00 degrees
Fractional positions:
Ac: 0.0000 0.0000 0.2253
S: 0.5000 0.5000 0.5000
N: 0.5000 0.5000 0.0000
Ac: 0.0000 0.0000 0.7747

## Properties
Fermi-level density of states ... 1.67 states/eV/f.u.
ΔE_f (raw) ... -1045 meV per atom
Symmetry ... P4/mmm, No. 123